RbMgF2 | the Alexandria database | PBEsol | relaxed; raw formation energy = -2.245 eV/atom; crystal system = trigonal
1.0
-2.6577 2.2409 -0.4121
-2.9821 -1.0755 -1.4849
-4.4865 -1.4901 5.9630
Mg Rb F
1 1 2
direct
0.5000 0.5000 0.5000
0.0000 0.0000 0.0000
0.8721 0.8721 0.3838
0.1279 0.1279 0.6162

=====

Os3PbO | the Alexandria database | PBEsol | relaxed; raw formation energy = 1.179 eV/atom; crystal system = cubic
1.0
4.1734 0.0000 0.0000
0.0000 4.1734 0.0000
0.0000 0.0000 4.1734
Pb Os O
1 3 1
direct
0.5000 0.5000 0.5000
0.0000 0.5000 0.0000
0.0000 0.0000 0.5000
0.5000 0.0000 0.0000
0.0000 0.0000 0.0000

=====

TaMo | the Alexandria database | PBEsol | relaxed; energy relative to the elements = -0.111 eV/atom; crystal system = orthorhombic
1.0
-3.0786 -0.6503 -0.4970
0.4694 -3.9336 2.2393
-0.8149 6.4304 6.8429
Mo Ta
4 4
direct
0.2523 0.2523 0.5047
0.8714 0.3714 0.7427
0.1286 0.6286 0.2573
0.7477 0.7477 0.4953
0.5000 0.5000 0.0000
0.3714 0.8714 0.7428
0.0000 0.0000 0.0000
0.6286 0.1286 0.2572

=====

Cr4FeCuSe4S4 | the Alexandria database | PBEsol | relaxed; raw formation energy = -0.479 eV/atom; crystal system = cubic
1.0
-0.0832 0.0754 7.0497
-6.1027 -0.6988 3.4612
-1.3683 -5.9222 3.5729
Cr Fe Cu Se S
4 1 1 4 4
direct
0.8832 0.3503 0.8832
0.8832 0.8832 0.8832
0.3503 0.8832 0.8832
0.8832 0.8832 0.3503
0.5000 0.5000 0.5000
0.2500 0.2500 0.2500
0.6323 0.1032 0.6323
0.6323 0.6323 0.6323
0.1032 0.6323 0.6323
0.6323 0.6323 0.1032
0.1183 0.6451 0.1183
0.1183 0.1183 0.1183
0.6451 0.1183 0.1183
0.1183 0.1183 0.6451

=====

| no. | calculated volume (Å³ per atom) | electronic total energy (eV/atom) |
| --- | --- | --- |
| 1 | 19.46 | -3.8940 |
| 2 | 14.54 | -8.0001 |
| 3 | 16.32 | -12.2704 |
| 4 | 17.70 | -6.7077 |